This record from Alexandria via LeMat-Bulk describes a geometry-optimized Ba3Sr4Ca structure. The functional is PBE.

Values from the calculation:
The density of states at the Fermi level is 1.35 states/eV per atom. The space-group type is C2/m, No. 12. Its spin magnetization is 0.000 μB per atom. As for the density: 2.982 Mg/m³. The calculation puts the formation energy at 0.013 eV/atom.

Lattice parameters (Å, degrees): 14.2280 14.2280 6.8250 103.71 103.71 19.47
With the nearest neighbours (Å) after each atom.
Atoms (fractional coordinates):
Ba  0.0000  0.0000  0.0000  4 Ca 4.18, 4 Sr 4.22
Ba  0.1219  0.1219  0.6186  2 Ca 4.10, 6 Sr 4.18-4.23
Ba  0.8781  0.8781  0.3814  2 Ca 4.10, 6 Sr 4.18-4.23
Sr  0.2502  0.2502  0.2502  6 Sr 4.12-4.18, 2 Ba 4.23
Sr  0.3728  0.3728  0.8761  2 Sr 4.12, 6 Ba 4.18-4.22
Sr  0.6272  0.6272  0.1239  2 Sr 4.12, 6 Ba 4.18-4.22
Sr  0.7498  0.7498  0.7498  6 Sr 4.12-4.18, 2 Ba 4.23
Ca  0.5000  0.5000  0.5000  8 Ba 4.10-4.18